No. 1
Material: FeMoIr2
Method: DFT, PBE
State: optimized geometry

Geometry as POSCAR:
```
FeMoIr2
1.0
-2.074 -1.531 0.867
1.467 -2.244 -0.455
2.733 0.341 7.135
Fe Mo Ir
1 1 2
Direct
0.500 0.500 0.760
0.000 0.000 0.506
0.500 0.500 0.249
0.000 0.000 0.985
```

- Relative energy among the computed polymorphs: 200 meV/atom
- Space-group type: P4mm (99)
- Crystal system: tetragonal



No. 2
Material: FeMoIr2
Method: DFT, PBE
State: optimized geometry

Geometry as POSCAR:
```
FeMoIr2
1.0
-3.329 2.544 2.078
-3.520 -2.851 1.162
4.594 -0.300 0.808
Ir Mo Fe
2 1 1
Direct
0.000 0.000 0.000
0.500 0.500 0.000
0.750 0.250 0.500
0.250 0.750 0.500
```

- Relative energy among the computed polymorphs: 0 meV/atom
- Space-group type: Fmmm (69)
- Crystal system: orthorhombic



No. 3
Material: FeMoIr2
Method: DFT, PBE
State: optimized geometry

Geometry as POSCAR:
```
FeMoIr2
1.0
-1.952 3.771 -2.050
-3.447 3.213 0.176
2.218 3.410 2.344
Ir Fe Mo
2 1 1
Direct
0.001 0.001 0.018
0.747 0.747 0.738
0.254 0.254 0.235
0.498 0.498 0.510
```

- Relative energy among the computed polymorphs: 133 meV/atom
- Space-group type: Cm (8)
- Crystal system: monoclinic



No. 4
Material: FeMoIr
Method: DFT, PBE
State: optimized geometry

Geometry as POSCAR:
```
FeMoIr
1.0
-0.648 -2.022 -1.728
-3.684 -5.026 9.432
-1.250 2.951 -2.985
Fe Ir Mo
2 2 2
Direct
0.776 0.552 0.853
0.224 0.448 0.147
0.440 0.879 0.509
0.560 0.121 0.491
0.116 0.231 0.213
0.884 0.769 0.787
```

- Relative energy among the computed polymorphs: 0 meV/atom
- Space-group type: Cmcm (63)
- Crystal system: orthorhombic



No. 5
Material: FeMoIr
Method: DFT, PBE
State: optimized geometry

Geometry as POSCAR:
```
FeMoIr
1.0
4.244 0.000 0.000
-2.122 3.675 0.000
0.000 0.000 2.680
Ir Mo Fe
1 1 1
Direct
0.333 0.667 0.333
0.667 0.333 0.833
0.000 0.000 0.834
```

- Relative energy among the computed polymorphs: 75 meV/atom
- Space-group type: P-6m2 (187)
- Crystal system: hexagonal



No. 6
Material: FeMoIr2
Method: DFT, PBE
State: optimized geometry

Geometry as POSCAR:
```
FeMoIr2
1.0
-6.694 -1.455 -5.700
-4.852 -3.200 -6.755
-6.457 -3.991 -4.669
Fe Ir Mo
1 2 1
Direct
0.750 0.750 0.750
0.002 0.002 0.002
0.498 0.498 0.498
0.250 0.250 0.250
```

- Relative energy among the computed polymorphs: 145 meV/atom
- Space-group type: R-3m (166)
- Crystal system: trigonal



No. 7
Material: Fe8Mo3Ir
Method: DFT, PBE
State: optimized geometry

Geometry as POSCAR:
```
Fe8Mo3Ir
1.0
4.673 0.000 0.000
-2.336 4.047 0.000
0.000 0.000 7.713
Fe Ir Mo
8 1 3
Direct
0.333 0.667 0.500
0.503 0.005 0.750
0.503 0.497 0.750
0.673 0.837 0.250
0.333 0.667 0.003
0.995 0.497 0.750
0.163 0.837 0.250
0.163 0.327 0.250
0.000 0.000 0.563
0.667 0.333 0.437
0.000 0.000 0.929
0.667 0.333 0.066
```

- Space-group type: P3m1 (156)
- Crystal system: trigonal



No. 8
Material: FeMoIr2
Method: DFT, PBE
State: optimized geometry

Geometry as POSCAR:
```
FeMoIr2
1.0
-2.582 0.977 -0.203
-0.969 -2.589 -0.143
-0.647 -0.169 7.436
Fe Ir Mo
1 2 1
Direct
0.500 0.500 0.750
0.000 0.000 0.993
0.000 0.000 0.507
0.500 0.500 0.250
```

- Relative energy among the computed polymorphs: 52 meV/atom
- Space-group type: P4/mmm (123)
- Crystal system: tetragonal



No. 9
Material: FeMoIr2
Method: DFT, PBE
State: optimized geometry

Geometry as POSCAR:
```
FeMoIr2
1.0
-0.534 4.670 -0.436
-3.024 3.577 -0.589
-0.767 1.121 4.487
Mo Ir Fe
1 2 1
Direct
0.750 0.750 0.750
0.502 0.502 0.495
0.998 0.998 0.005
0.250 0.250 0.250
```

- Relative energy among the computed polymorphs: 118 meV/atom
- Space-group type: C2/m (12)
- Crystal system: monoclinic



No. 10
Material: FeMoIr2
Method: DFT, PBE
State: optimized geometry

Geometry as POSCAR:
```
FeMoIr2
1.0
4.674 0.012 -0.003
1.552 4.408 0.003
-3.112 -2.212 2.696
Fe Mo Ir
1 1 2
Direct
0.250 0.750 0.500
0.500 0.500 0.000
0.000 0.000 0.000
0.750 0.250 0.500
```

- Relative energy among the computed polymorphs: 90 meV/atom
- Space-group type: I-4m2 (119)
- Crystal system: tetragonal



No. 11
Material: FeMoIr
Method: DFT, PBE
State: optimized geometry

Geometry as POSCAR:
```
FeMoIr
1.0
6.046 0.038 -0.040
5.429 2.663 -0.030
0.618 0.135 2.621
Mo Fe Ir
1 1 1
Direct
0.336 0.336 0.664
0.004 0.004 0.996
0.661 0.661 0.339
```

- Relative energy among the computed polymorphs: 54 meV/atom
- Space-group type: I4mm (107)
- Crystal system: tetragonal



No. 12
Material: FeMoIr2
Method: DFT, PBE
State: optimized geometry

Geometry as POSCAR:
```
FeMoIr2
1.0
-1.173 3.210 -1.686
-2.111 0.130 1.716
0.904 3.063 5.203
Ir Mo Fe
2 1 1
Direct
0.000 0.024 0.976
0.500 0.246 0.254
0.000 0.495 0.505
0.500 0.735 0.765
```

- Relative energy among the computed polymorphs: 120 meV/atom
- Space-group type: Pmm2 (25)
- Crystal system: orthorhombic



No. 13
Material: FeMoIr6
Method: DFT, PBE
State: optimized geometry

Geometry as POSCAR:
```
FeMoIr6
1.0
3.866 0.000 0.000
0.000 3.866 0.000
0.000 0.000 7.718
Ir Fe Mo
6 1 1
Direct
0.000 0.500 0.750
0.500 0.500 0.500
0.500 0.500 0.000
0.000 0.500 0.250
0.500 0.000 0.750
0.500 0.000 0.250
0.000 0.000 0.000
0.000 0.000 0.500
```

- Space-group type: P4/mmm (123)
- Crystal system: tetragonal



No. 14
Material: FeMoIr2
Method: DFT, PBE
State: optimized geometry

Geometry as POSCAR:
```
FeMoIr2
1.0
-1.264 -1.147 -2.164
-0.410 -3.211 1.941
-4.833 1.760 1.891
Ir Mo Fe
2 1 1
Direct
0.000 0.000 0.992
0.000 0.000 0.508
0.500 0.500 0.250
0.500 0.500 0.750
```

- Relative energy among the computed polymorphs: 19 meV/atom
- Space-group type: Pmmm (47)
- Crystal system: orthorhombic



No. 15
Material: FeMoIr3
Method: DFT, PBE
State: optimized geometry

Geometry as POSCAR:
```
FeMoIr3
1.0
-3.704 -0.944 -2.166
2.296 -0.490 -3.713
0.556 -4.262 0.906
Fe Mo Ir
1 1 3
Direct
0.000 0.000 0.000
0.500 0.500 0.500
0.500 0.000 0.000
0.000 0.000 0.500
0.000 0.500 0.000
```

- Relative energy among the computed polymorphs: 1402 meV/atom
- Space-group type: Pm-3m (221)
- Crystal system: cubic



No. 16
Material: FeMoIr
Method: DFT, PBE
State: optimized geometry

Geometry as POSCAR:
```
FeMoIr
1.0
-0.091 2.214 -1.578
-1.399 -2.226 -0.697
-5.267 2.234 3.440
Mo Fe Ir
1 1 1
Direct
0.333 0.667 0.668
0.000 0.000 0.006
0.667 0.333 0.327
```

- Relative energy among the computed polymorphs: 147 meV/atom
- Space-group type: P3m1 (156)
- Crystal system: trigonal



No. 17
Material: FeMoIr2
Method: DFT, PBE
State: optimized geometry

Geometry as POSCAR:
```
FeMoIr2
1.0
4.344 0.000 0.000
2.172 3.762 0.000
2.172 1.254 3.547
Fe Mo Ir
1 1 2
Direct
0.500 0.500 0.500
0.250 0.250 0.250
0.000 0.000 0.000
0.750 0.750 0.750
```

- Relative energy among the computed polymorphs: 404 meV/atom
- Space-group type: F-43m (216)
- Crystal system: cubic



No. 18
Material: FeMoIr
Method: DFT, PBE
State: optimized geometry

Geometry as POSCAR:
```
FeMoIr
1.0
4.150 0.000 -1.252
0.000 4.318 0.000
-0.767 -0.001 4.962
Fe Ir Mo
2 2 2
Direct
0.861 0.115 0.185
0.369 0.615 0.201
0.519 0.115 0.500
0.711 0.615 0.885
0.027 0.615 0.517
0.203 0.115 0.868
```

- Relative energy among the computed polymorphs: 92 meV/atom
- Space-group type: Cmcm (63)
- Crystal system: orthorhombic



No. 19
Material: FeMoIr2
Method: DFT, PBE
State: optimized geometry

Geometry as POSCAR:
```
FeMoIr2
1.0
3.804 0.000 0.000
0.000 3.815 0.000
0.000 0.000 3.815
Ir Fe Mo
2 1 1
Direct
0.000 0.000 0.000
0.000 0.500 0.500
0.500 0.000 0.500
0.500 0.500 0.000
```

- Relative energy among the computed polymorphs: 38 meV/atom
- Space-group type: P4/mmm (123)
- Crystal system: tetragonal



No. 20
Material: FeMoIr2
Method: DFT, PBE
State: optimized geometry

Geometry as POSCAR:
```
FeMoIr2
1.0
9.011 0.001 0.001
8.596 2.703 0.001
8.596 1.320 2.359
Fe Ir Mo
1 2 1
Direct
0.748 0.748 0.748
0.249 0.249 0.249
0.004 0.004 0.004
0.500 0.500 0.500
```

- Relative energy among the computed polymorphs: 254 meV/atom
- Space-group type: R3m (160)
- Crystal system: trigonal



No. 21
Material: FeMoIr2
Method: DFT, PBE
State: optimized geometry

Geometry as POSCAR:
```
FeMoIr2
1.0
-4.981 1.057 -1.415
-1.507 -4.751 1.758
-4.241 0.385 5.348
Mo Ir Fe
2 4 2
Direct
0.000 0.000 0.000
0.750 0.250 0.500
0.875 0.845 0.750
0.375 0.405 0.750
0.155 0.625 0.250
0.595 0.125 0.250
0.250 0.750 0.500
0.500 0.500 0.000
```

- Relative energy among the computed polymorphs: 1127 meV/atom
- Space-group type: I-42d (122)
- Crystal system: tetragonal



No. 22
Material: FeMoIr3
Method: DFT, PBE
State: optimized geometry

Geometry as POSCAR:
```
FeMoIr3
1.0
-0.393 4.102 -2.228
0.912 -2.125 -4.074
-4.578 -0.776 -0.621
Mo Ir Fe
1 3 1
Direct
0.000 0.000 0.000
0.000 0.000 0.500
0.500 0.000 0.000
0.000 0.500 0.000
0.500 0.500 0.500
```

- Relative energy among the computed polymorphs: 1987 meV/atom
- Space-group type: Pm-3m (221)
- Crystal system: cubic



No. 23
Material: FeMoIr3
Method: DFT, PBE
State: optimized geometry

Geometry as POSCAR:
```
FeMoIr3
1.0
4.936 0.000 0.000
0.000 4.955 0.000
0.000 0.000 12.124
Mo Ir Fe
4 12 4
Direct
0.876 0.000 0.750
0.376 0.500 0.250
0.124 0.000 0.250
0.624 0.500 0.750
0.872 0.493 0.145
0.128 0.493 0.645
0.628 0.007 0.145
0.872 0.507 0.355
0.128 0.507 0.855
0.372 0.993 0.855
0.750 0.750 0.545
0.628 0.993 0.355
0.372 0.007 0.645
0.250 0.250 0.455
0.750 0.250 0.955
0.250 0.750 0.045
0.250 0.250 0.037
0.750 0.250 0.537
0.250 0.750 0.463
0.750 0.750 0.963
```

- Relative energy among the computed polymorphs: 0 meV/atom
- Space-group type: Pnna (52)
- Crystal system: orthorhombic



No. 24
Material: FeMo2Ir2
Method: DFT, PBE
State: optimized geometry

Geometry as POSCAR:
```
FeMo2Ir2
1.0
-6.265 -3.458 -2.447
3.612 -6.644 0.141
-0.813 -0.386 2.627
Ir Mo Fe
4 4 2
Direct
0.627 0.873 0.000
0.373 0.127 0.000
0.873 0.373 0.000
0.127 0.627 0.000
0.330 0.830 0.500
0.170 0.330 0.500
0.830 0.670 0.500
0.670 0.170 0.500
0.000 0.000 0.000
0.500 0.500 0.000
```

- Space-group type: P4/mbm (127)
- Crystal system: tetragonal



No. 25
Material: FeMoIr2
Method: DFT, PBE
State: optimized geometry

Geometry as POSCAR:
```
FeMoIr2
1.0
2.974 -0.136 3.128
-1.166 -0.953 4.047
1.134 -3.787 1.738
Fe Mo Ir
1 1 2
Direct
0.000 0.000 0.000
0.500 0.500 0.500
0.250 0.250 0.250
0.750 0.750 0.750
```

- Relative energy among the computed polymorphs: 540 meV/atom
- Space-group type: Fm-3m (225)
- Crystal system: cubic



No. 26
Material: FeMo2Ir6
Method: DFT, PBE
State: optimized geometry

Geometry as POSCAR:
```
FeMo2Ir6
1.0
-2.439 -1.477 2.615
3.979 -4.518 1.159
2.385 5.134 2.263
Ir Fe Mo
6 1 2
Direct
0.283 0.167 0.567
0.164 0.503 0.328
0.717 0.833 0.433
0.836 0.497 0.672
0.606 0.166 0.213
0.394 0.834 0.787
0.500 0.500 0.000
0.057 0.826 0.114
0.943 0.174 0.886
```

- Space-group type: C2/m (12)
- Crystal system: monoclinic



No. 27
Material: FeMoIr2
Method: DFT, PBE
State: optimized geometry

Geometry as POSCAR:
```
FeMoIr2
1.0
-0.464 -0.436 4.639
-2.728 -3.173 -2.101
2.061 -1.796 0.037
Ir Fe Mo
2 1 1
Direct
0.500 0.500 0.000
0.000 0.000 0.000
0.000 0.500 0.500
0.500 0.000 0.500
```

- Relative energy among the computed polymorphs: 87 meV/atom
- Space-group type: Cmmm (65)
- Crystal system: orthorhombic



No. 28
Material: Fe2Mo2Ir
Method: DFT, PBE
State: optimized geometry

Geometry as POSCAR:
```
Fe2Mo2Ir
1.0
-4.005 0.827 -5.458
-3.889 -5.209 2.065
-1.656 1.828 1.492
Mo Ir Fe
4 2 4
Direct
0.173 0.673 0.500
0.327 0.173 0.500
0.827 0.327 0.500
0.673 0.827 0.500
0.000 0.000 0.000
0.500 0.500 0.000
0.372 0.872 0.000
0.872 0.628 0.000
0.628 0.128 0.000
0.128 0.372 0.000
```

- Space-group type: P4/mbm (127)
- Crystal system: tetragonal



Sequential formation energy output: -0.1 -0.9 -0.3 -0.3 -0.1 -0.3 -0.4 -0.6 -0.4 -0.5 -0.1 -0.4 -1.5 -0.8 7.6 0.1 0.8 0.0 -0.7 0.2 3.7 10.6 0.6 0.4 1.3 -1.6 -0.5 0.1 eV per formula unit